[1]
TbNd5Y2Er | PBE-GGA | optimized geometry

Unit cell a=10.6196 b=10.6196 c=10.7186 alpha=90.00 beta=90.00 gamma=148.99
Element x y z (fractional)
Tb  0.2001  0.7999  0.5000
Tb  0.7999  0.2001  0.0000
Nd  0.0171  0.9829  0.5090
Nd  0.2810  0.7190  0.8011
Nd  0.2965  0.7035  0.1950
Nd  0.3882  0.6118  0.5126
Nd  0.4822  0.5178  0.2348
Nd  0.5178  0.4822  0.7348
Nd  0.6118  0.3882  0.0126
Nd  0.7035  0.2965  0.6950
Nd  0.7190  0.2810  0.3011
Nd  0.9829  0.0171  0.0090
Y  0.1116  0.8884  0.2278
Y  0.1155  0.8845  0.8029
Y  0.8845  0.1155  0.3029
Y  0.8884  0.1116  0.7278
Er  0.4083  0.5917  0.9537
Er  0.5917  0.4083  0.4537

Properties
* energy relative to the elements: 0.139 eV/atom
* calculated volume: 623 Å³/cell
* Fermi-level density of states: 29.3 states/eV per cell

[2]
Li6Mg12Hg | PBE-GGA | optimized geometry

Unit cell a=7.6524 b=7.6524 c=7.6524 alpha=100.19 beta=100.19 gamma=100.19
Element x y z (fractional)
Li  0.0000  0.2529  0.7471
Li  0.0000  0.7471  0.2529
Li  0.2529  0.0000  0.7471
Li  0.2529  0.7471  0.0000
Li  0.7471  0.0000  0.2529
Li  0.7471  0.2529  0.0000
Mg  0.1648  0.1648  0.4315
Mg  0.1648  0.4315  0.1648
Mg  0.1717  0.6074  0.6074
Mg  0.3926  0.3926  0.8283
Mg  0.3926  0.8283  0.3926
Mg  0.4315  0.1648  0.1648
Mg  0.5685  0.8352  0.8352
Mg  0.6074  0.1717  0.6074
Mg  0.6074  0.6074  0.1717
Mg  0.8283  0.3926  0.3926
Mg  0.8352  0.5685  0.8352
Mg  0.8352  0.8352  0.5685
Hg  0.5000  0.5000  0.5000

Properties
* energy relative to the elements: -0.007 eV/atom
* energy above the lowest structure with this stoichiometry: 0.051 eV per atom
* calculated volume: 424 Å³/cell
* Fermi-level density of states: 6.2 states/eV per cell

[3]
RePIr | PBE-GGA | optimized geometry

Unit cell a=3.9778 b=3.9778 c=3.9778 alpha=60.00 beta=60.00 gamma=60.00
Element x y z (fractional)
Re  0.0000  0.0000  0.0000
P  0.7500  0.7500  0.7500
Ir  0.5000  0.5000  0.5000

Properties
* energy relative to the elements: -0.032 eV/atom
* energy above the lowest structure with this stoichiometry: 0.019 eV per atom
* calculated volume: 45 Å³/cell
* Fermi-level density of states: 2.7 states/eV per cell

Please write out number 1 again, unchanged.
TbNd5Y2Er | PBE-GGA | optimized geometry

Unit cell a=10.6196 b=10.6196 c=10.7186 alpha=90.00 beta=90.00 gamma=148.99
Element x y z (fractional)
Tb  0.2001  0.7999  0.5000
Tb  0.7999  0.2001  0.0000
Nd  0.0171  0.9829  0.5090
Nd  0.2810  0.7190  0.8011
Nd  0.2965  0.7035  0.1950
Nd  0.3882  0.6118  0.5126
Nd  0.4822  0.5178  0.2348
Nd  0.5178  0.4822  0.7348
Nd  0.6118  0.3882  0.0126
Nd  0.7035  0.2965  0.6950
Nd  0.7190  0.2810  0.3011
Nd  0.9829  0.0171  0.0090
Y  0.1116  0.8884  0.2278
Y  0.1155  0.8845  0.8029
Y  0.8845  0.1155  0.3029
Y  0.8884  0.1116  0.7278
Er  0.4083  0.5917  0.9537
Er  0.5917  0.4083  0.4537

Properties
* energy relative to the elements: 0.139 eV/atom
* calculated volume: 623 Å³/cell
* Fermi-level density of states: 29.3 states/eV per cell